Model w:
DFT (PBE) results for crystalline Pm2Sm7Ho2 at its relaxed geometry.

a b c (Å): 9.730 9.399 8.468
angles (deg): 90.00 103.69 90.00
Space group C2/m (No. 12)
One atom of each set of equivalent atoms:
Pm1 0.098 0.000 0.343 x4
Sm1 0.000 0.500 0.500 x2
Sm2 0.197 0.000 0.017 x4
Sm3 0.199 0.203 0.684 x8
Ho1 0.000 0.310 0.000 x4

Values from the calculation:
- ρ: 7382 kg/m³
- Magnetization: 0.00 μB per atom


Model x:
DFT (PBE) results for crystalline Pm2Sm7Ho2 at its relaxed geometry.

a b c (Å): 11.352 11.612 6.134
angles (deg): 90.00 112.58 90.00
Space group C2/m (No. 12)
One atom of each set of equivalent atoms:
Pm1 0.000 0.214 0.000 x4
Sm1 0.000 0.000 0.500 x2
Sm2 0.086 0.500 0.306 x4
Sm3 0.176 0.236 0.676 x8
Ho1 0.233 0.000 0.082 x4

Values from the calculation:
- ρ: 7440 kg/m³
- Magnetization: 0.00 μB per atom


The structure with the least stability is model w.


Model w:
DFT (PBE) results for crystalline Pm2Sm7Ho3 at its relaxed geometry.

a b c (Å): 6.200 5.496 12.422
angles (deg): 90.00 90.63 90.00
Space group P2/m (No. 10)
One atom of each set of equivalent atoms:
Pm1 0.100 0.000 0.280 x2
Sm1 0.058 0.500 0.821 x2
Sm2 0.261 0.000 0.546 x2
Sm3 0.419 0.000 0.830 x2
Sm4 0.500 0.500 0.000 x1
Ho1 0.000 0.000 0.000 x1
Ho2 0.438 0.500 0.344 x2

Values from the calculation:
- ρ: 7209 kg/m³
- Magnetization: 0.00 μB per atom


Model x:
DFT (PBE) results for crystalline Pm2Sm7Ho3 at its relaxed geometry.

a b c (Å): 5.777 38.201 3.641
angles (deg): 90.00 90.00 90.00
Space group Cmmm (No. 65)
One atom of each set of equivalent atoms:
Pm1 0.000 0.148 0.000 x4
Sm1 0.000 0.000 0.000 x2
Sm2 0.000 0.072 0.500 x4
Sm3 0.000 0.231 0.000 x4
Sm4 0.000 0.409 0.000 x4
Ho1 0.000 0.315 0.500 x4
Ho2 0.000 0.500 0.500 x2

Values from the calculation:
- ρ: 7593 kg/m³
- Magnetization: 0.00 μB per atom


The structure with the least stability is model w.


Model w:
DFT (PBE) results for crystalline Pm2Sm5Ho3 at its relaxed geometry.

a b c (Å): 10.825 15.748 9.598
angles (deg): 90.00 123.95 90.00
Space group C2/c (No. 15)
One atom of each set of equivalent atoms:
Pm1 0.142 0.124 0.050 x8
Sm1 0.000 0.231 0.250 x4
Sm2 0.000 0.271 0.750 x4
Sm3 0.000 0.468 0.750 x4
Sm4 0.231 0.383 0.217 x8
Ho1 0.000 0.024 0.250 x4
Ho2 0.158 0.380 0.546 x8

Values from the calculation:
- ρ: 7521 kg/m³
- Magnetization: 0.00 μB per atom


Model x:
DFT (PBE) results for crystalline Pm2Sm5Ho3 at its relaxed geometry.

a b c (Å): 9.418 21.867 6.859
angles (deg): 90.00 90.00 90.00
Space group Ibam (No. 72)
One atom of each set of equivalent atoms:
Pm1 0.099 0.123 0.000 x8
Sm1 0.000 0.249 0.250 x8
Sm2 0.000 0.500 0.250 x4
Sm3 0.095 0.374 0.500 x8
Ho1 0.000 0.000 0.250 x4
Ho2 0.248 0.121 0.500 x8

Values from the calculation:
- ρ: 7226 kg/m³
- Magnetization: 0.00 μB per atom


The structure with the least stability is model x.


Model w:
DFT (PBE) results for crystalline PmSm7Ho12 at its relaxed geometry.

a b c (Å): 11.258 11.258 11.258
angles (deg): 90.00 90.00 90.00
Space group Im-3m (No. 229)
One atom of each set of equivalent atoms:
Pm1 0.000 0.000 0.000 x2
Sm1 0.000 0.000 0.500 x6
Sm2 0.250 0.250 0.250 x8
Ho1 0.000 0.251 0.251 x24

Values from the calculation:
- ρ: 7394 kg/m³
- Magnetization: 0.00 μB per atom


Model x:
DFT (PBE) results for crystalline PmSm7Ho12 at its relaxed geometry.

a b c (Å): 12.8493 12.8493 13.6895
angles (deg): 90.00 90.00 120.00
Space group R-3 (No. 148, hexagonal axes)
One atom of each set of equivalent atoms:
Pm1 0.0000 0.0000 0.0000 x3
Sm1 0.0000 0.0000 0.5000 x3
Sm2 0.0679 0.2019 0.8471 x18
Ho1 0.0025 0.5670 0.2490 x18
Ho2 0.0677 0.8666 0.3484 x18

Values from the calculation:
- ρ: 8085 kg/m³
- Magnetization: 0.00 μB per atom


The structure with the least stability is model w.


Model w:
DFT (PBE) results for crystalline Pm2Sm3Ho2 at its relaxed geometry.

a b c (Å): 17.661 3.530 8.620
angles (deg): 90.00 119.11 90.00
Space group C2/m (No. 12)
One atom of each set of equivalent atoms:
Pm1 0.065 0.000 0.412 x4
Sm1 0.000 0.500 0.000 x2
Sm2 0.212 0.500 0.298 x4
Ho1 0.148 0.500 0.832 x4

Values from the calculation:
- ρ: 7574 kg/m³
- Magnetization: 0.00 μB per atom


Model x:
DFT (PBE) results for crystalline Pm2Sm3Ho2 at its relaxed geometry.

a b c (Å): 11.931 3.605 10.818
angles (deg): 90.00 95.79 90.00
Space group C2/m (No. 12)
One atom of each set of equivalent atoms:
Pm1 0.216 0.000 0.356 x4
Sm1 0.000 0.500 0.500 x2
Sm2 0.142 0.500 0.070 x4
Ho1 0.071 0.000 0.787 x4

Values from the calculation:
- ρ: 7683 kg/m³
- Magnetization: 0.00 μB per atom


The structure with the least stability is model w.